1.
Computed, not measured: a relaxed structure of Ca2CuIrO6 at the PBE-GGA level of DFT.

Lattice parameters (Å, degrees): 5.127 5.287 5.751 117.37 113.15 90.00
Each line ends with the local moment (μB).
Sites, in units of the cell vectors:
O  0.689  0.303  0.606  0.23
O  0.812  0.315  0.142  0.07
O  0.812  0.826  0.142  0.07
O  0.188  0.685  0.858  0.07
O  0.311  0.697  0.394  0.23
O  0.188  0.174  0.858  0.07
Ca  0.791  0.758  0.517  0.01
Ca  0.209  0.242  0.483  0.01
Ir  0.000  0.500  0.000  1.20
Cu  0.500  0.000  0.000  -0.20

Computed properties:
Raw formation energy ... -1592 meV per atom
Space group ... C2/m (12)
Volume ... 124.2 Å³/cell
Uncorrected energy ... -6.26 eV per atom
Spin magnetization ... 2.0 μB per formula unit

2.
Computed, not measured: a relaxed structure of UBrCl3 at the PBE-GGA level of DFT.

Lattice parameters (Å, degrees): 6.695 8.389 13.561 90.00 90.00 90.00
Each line ends with the local moment (μB).
Sites, in units of the cell vectors:
Br  0.780  0.250  0.404  -0.03
Br  0.720  0.750  0.904  -0.03
Br  0.280  0.250  0.096  -0.03
Br  0.220  0.750  0.596  -0.03
Cl  0.245  0.505  0.360  -0.05
Cl  0.199  0.250  0.581  -0.03
Cl  0.699  0.250  0.919  -0.03
Cl  0.245  0.995  0.360  -0.05
Cl  0.255  0.005  0.860  -0.05
Cl  0.745  0.995  0.140  -0.05
Cl  0.255  0.495  0.860  -0.05
Cl  0.745  0.505  0.140  -0.05
Cl  0.301  0.750  0.081  -0.03
Cl  0.755  0.005  0.640  -0.05
Cl  0.755  0.495  0.640  -0.05
Cl  0.801  0.750  0.419  -0.03
U  0.000  0.500  0.500  2.09
U  0.500  0.500  0.000  2.09
U  0.000  0.000  0.500  2.09
U  0.500  0.000  0.000  2.09

Computed properties:
Raw formation energy ... -1588 meV per atom
Space group ... Pnma (62)
Volume ... 761.7 Å³/cell
Uncorrected energy ... -5.29 eV per atom
Spin magnetization ... 2.0 μB per formula unit
Energy above the most stable polymorph in this dataset ... 0.00 kcal/mol of atoms

3.
Computed, not measured: a relaxed structure of Pm4Dy5Tm4 at the PBE-GGA level of DFT.

Lattice parameters (Å, degrees): 5.020 9.420 9.420 85.93 74.55 74.55
Sites, in units of the cell vectors:
Pm  0.922  0.460  0.696
Pm  0.382  0.696  0.540
Pm  0.618  0.304  0.460
Pm  0.078  0.540  0.304
Tm  0.846  0.924  0.384
Tm  0.230  0.616  0.924
Tm  0.154  0.076  0.616
Tm  0.770  0.384  0.076
Dy  0.000  0.000  0.000
Dy  0.460  0.230  0.849
Dy  0.310  0.151  0.230
Dy  0.540  0.770  0.151
Dy  0.690  0.849  0.770

Computed properties:
Space group ... I4/m (87)
Volume ... 413.8 Å³/cell
Energy of formation from the pure elements ... 0.02 eV per atom
Uncorrected energy ... -4.59 eV per atom
Spin magnetization ... 0.0 μB per formula unit

4.
Computed, not measured: a relaxed structure of AcIrN2 at the PBE-GGA level of DFT.

Lattice parameters (Å, degrees): 3.571 3.571 5.408 70.72 70.72 60.00
Sites, in units of the cell vectors:
Ir  0.000  0.000  0.000
N  0.275  0.275  0.176
N  0.725  0.725  0.824
Ac  0.500  0.500  0.500

Computed properties:
Raw formation energy ... -305 meV per atom
Space group ... R-3m (166)
Volume ... 55.2 Å³/cell
Uncorrected energy ... -7.71 eV per atom
Spin magnetization ... 0.0 μB per formula unit

5.
Computed, not measured: a relaxed structure of UTaSn2 at the PBE-GGA level of DFT.

Lattice parameters (Å, degrees): 3.099 3.099 11.378 82.17 82.17 60.00
Each line ends with the local moment (μB).
Sites, in units of the cell vectors:
Sn  0.905  0.905  0.284  0.00
Sn  0.095  0.095  0.716  0.00
U  0.000  0.000  0.000  2.29
Ta  0.500  0.500  0.500  -0.01

Computed properties:
Space group ... R-3m (166)
Volume ... 93.4 Å³/cell
Energy of formation from the pure elements ... 0.32 eV per atom
Uncorrected energy ... -7.47 eV per atom
Spin magnetization ... 2.6 μB per formula unit

6.
Computed, not measured: a relaxed structure of KTcSe2 at the PBE-GGA level of DFT.

Lattice parameters (Å, degrees): 8.272 8.272 8.272 156.99 156.12 33.40
Sites, in units of the cell vectors:
Se  0.667  0.167  0.500
Se  0.976  0.976  0.000
Tc  0.552  0.552  0.000
K  0.305  0.805  0.500

Computed properties:
Raw formation energy ... -310 meV per atom
Space group ... Imm2 (44)
Volume ... 89.5 Å³/cell
Uncorrected energy ... -4.92 eV per atom
Spin magnetization ... 0.0 μB per formula unit
Energy above the most stable polymorph in this dataset ... 4.21 kcal/mol of atoms